# NaSm2PaSe4 (GGA-PBE, relaxed)
data_NaSm2PaSe4
_chemical_formula_sum 'Na1 Sm2 Pa1 Se4'
_cell_length_a 7.155
_cell_length_b 4.099
_cell_length_c 7.271
_cell_angle_alpha 90.00
_cell_angle_beta 108.75
_cell_angle_gamma 90.00
_space_group_name_H-M_alt 'P 1'
_space_group_IT_number 1
loop_
_space_group_symop_operation_xyz
'x,y,z'
loop_
_atom_site_label
_atom_site_fract_x
_atom_site_fract_y
_atom_site_fract_z
Na1 0.000 0.000 0.000
Sm1 0.500 0.000 0.500
Sm2 0.500 0.500 0.000
Pa1 0.000 0.500 0.500
Se1 0.244 0.000 0.750
Se2 0.246 0.500 0.251
Se3 0.754 0.500 0.749
Se4 0.756 0.000 0.250
# E in eV/atom: -5.840
# Size of the total moment in μB per atom: 0.150
# Space-group type: P2/m
# Formation energy without anion corrections in eV per atom: -1.566